# PBE-GGA Rb3CuTc2O8, relaxed
# - volume (Å³ per atom) = 17.7
# - total DFT energy (no corrections) (eV/atom) = -6.23
# - formation energy from raw total energies (eV per atom) = -1.4134
data_Rb3CuTc2O8
_chemical_formula_sum 'Rb3 Cu1 Tc2 O8'
_cell_length_a 6.0032
_cell_length_b 6.0032
_cell_length_c 7.9331
_cell_angle_alpha 90.00
_cell_angle_beta 90.00
_cell_angle_gamma 120.00
_symmetry_space_group_name_H-M 'P 1'
_symmetry_Int_Tables_number 1
loop_
_symmetry_equiv_pos_as_xyz
'x,y,z'
loop_
_atom_site_label
_atom_site_type_symbol
_atom_site_fract_x
_atom_site_fract_y
_atom_site_fract_z
_atom_site_occupancy
Rb1 Rb 0.0000 0.0000 0.0000 1
Rb2 Rb 0.3333 0.6667 0.6675 1
Rb3 Rb 0.6667 0.3333 0.3325 1
Cu1 Cu 0.0000 0.0000 0.5000 1
Tc1 Tc 0.3333 0.6667 0.2408 1
Tc2 Tc 0.6667 0.3333 0.7592 1
O1 O 0.1707 0.3414 0.3250 1
O2 O 0.1707 0.8293 0.3250 1
O3 O 0.3333 0.6667 0.0176 1
O4 O 0.3414 0.1707 0.6750 1
O5 O 0.6586 0.8293 0.3250 1
O6 O 0.6667 0.3333 0.9824 1
O7 O 0.8293 0.1707 0.6750 1
O8 O 0.8293 0.6586 0.6750 1

***

# PBE-GGA MnNbGa2, relaxed
# - volume (Å³ per atom) = 16.6
# - total DFT energy (no corrections) (eV/atom) = -6.10
# - energy of formation (eV/atom) = 0.22
data_MnNbGa2
_chemical_formula_sum 'Mn2 Nb2 Ga4'
_cell_length_a 9.8344
_cell_length_b 9.8344
_cell_length_c 9.8344
_cell_angle_alpha 158.03
_cell_angle_beta 158.03
_cell_angle_gamma 31.27
_symmetry_space_group_name_H-M 'P 1'
_symmetry_Int_Tables_number 1
loop_
_symmetry_equiv_pos_as_xyz
'x,y,z'
loop_
_atom_site_label
_atom_site_type_symbol
_atom_site_fract_x
_atom_site_fract_y
_atom_site_fract_z
_atom_site_occupancy
Mn1 Mn 0.0000 0.0000 0.0000 1
Mn2 Mn 0.7500 0.2500 0.5000 1
Nb1 Nb 0.2500 0.7500 0.5000 1
Nb2 Nb 0.5000 0.5000 0.0000 1
Ga1 Ga 0.1171 0.6250 0.9921 1
Ga2 Ga 0.3750 0.3671 0.4921 1
Ga3 Ga 0.6329 0.1250 0.0079 1
Ga4 Ga 0.8750 0.8829 0.5079 1

***

# PBE-GGA MgTaSb2Te, relaxed
# - volume (Å³ per atom) = 31.6
# - total DFT energy (no corrections) (eV/atom) = -4.63
# - energy above the most stable polymorph in this dataset (eV per atom) = 0.000
# - formation energy from raw total energies (eV per atom) = 0.3390
data_MgTaSb2Te
_chemical_formula_sum 'Mg1 Ta1 Sb2 Te1'
_cell_length_a 5.4248
_cell_length_b 5.4248
_cell_length_c 5.3659
_cell_angle_alpha 90.00
_cell_angle_beta 90.00
_cell_angle_gamma 90.00
_symmetry_space_group_name_H-M 'P 1'
_symmetry_Int_Tables_number 1
loop_
_symmetry_equiv_pos_as_xyz
'x,y,z'
loop_
_atom_site_label
_atom_site_type_symbol
_atom_site_fract_x
_atom_site_fract_y
_atom_site_fract_z
_atom_site_occupancy
Mg1 Mg 0.0000 0.0000 0.0000 1
Ta1 Ta 0.5000 0.5000 0.5000 1
Sb1 Sb 0.0000 0.5000 0.5000 1
Sb2 Sb 0.5000 0.0000 0.5000 1
Te1 Te 0.5000 0.5000 0.0000 1